i | # TaHgPt3

Crystalline TaHgPt3 at its relaxed geometry (PBE-GGA, Alexandria via LeMat-Bulk).

Lattice parameters (Å, degrees): 4.9208 4.9208 4.9208 90.00 90.00 90.00
Closest atoms and distances in Å follow each position.
Element x y z (fractional)
Ta  0.0000  0.0000  0.0000  6 Pt 2.46
Hg  0.5000  0.5000  0.5000  12 Pt 3.48
Pt  0.0000  0.0000  0.5000  2 Ta 2.46
Pt  0.0000  0.5000  0.0000  2 Ta 2.46
Pt  0.5000  0.0000  0.0000  2 Ta 2.46

Summary:
Magnetic moment = 0.000 μB per atom
Density = 13.473 g cm⁻³


ii | # TaHgPt3

Crystalline TaHgPt3 at its relaxed geometry (PBE-GGA, Alexandria via LeMat-Bulk).

Lattice parameters (Å, degrees): 4.8899 4.8899 4.8899 90.00 90.00 90.00
Closest atoms and distances in Å follow each position.
Element x y z (fractional)
Ta  0.0000  0.0000  0.0000  12 Pt 3.46
Hg  0.5000  0.5000  0.5000  6 Pt 2.44
Pt  0.0000  0.5000  0.5000  2 Hg 2.44
Pt  0.5000  0.0000  0.5000  2 Hg 2.44
Pt  0.5000  0.5000  0.0000  2 Hg 2.44

Summary:
Magnetic moment = 0.000 μB per atom
Density = 13.730 g cm⁻³


Most stable pick: i. Distance to second place: 85.7 kJ/mol of atoms.


i | # Tb3Hg2Pt

Crystalline Tb3Hg2Pt at its relaxed geometry (PBE-GGA, Alexandria via LeMat-Bulk).

Lattice parameters (Å, degrees): 3.6427 3.6427 11.0841 90.00 90.00 90.00
Closest atoms and distances in Å follow each position.
Element x y z (fractional)
Tb  0.0000  0.0000  0.0000  8 Hg 3.19
Tb  0.0000  0.0000  0.3513  4 Pt 3.06, 4 Hg 3.27, 1 Tb 3.30
Tb  0.0000  0.0000  0.6487  4 Pt 3.06, 4 Hg 3.27, 1 Tb 3.30
Hg  0.5000  0.5000  0.1693  8 Tb 3.19-3.27
Hg  0.5000  0.5000  0.8307  8 Tb 3.19-3.27
Pt  0.5000  0.5000  0.5000  8 Tb 3.06

Summary:
Magnetic moment = 0.000 μB per atom
Density = 12.115 g cm⁻³


ii | # Tb3Hg2Pt

Crystalline Tb3Hg2Pt at its relaxed geometry (PBE-GGA, Alexandria via LeMat-Bulk).

Lattice parameters (Å, degrees): 7.9462 7.9462 7.8631 104.28 104.28 43.97
Closest atoms and distances in Å follow each position.
Element x y z (fractional)
Tb  0.0007  0.9993  0.7500  2 Pt 2.97-2.98, 4 Hg 3.29-3.30
Tb  0.3621  0.3628  0.9318  2 Pt 2.77, 2 Hg 3.05
Tb  0.3628  0.3621  0.4318  2 Pt 2.77, 2 Hg 3.05
Tb  0.6372  0.6379  0.5682  2 Pt 2.77, 2 Hg 3.05
Tb  0.6379  0.6372  0.0682  2 Pt 2.77, 2 Hg 3.05
Tb  0.9993  0.0007  0.2500  2 Pt 2.97-2.98, 4 Hg 3.29-3.30
Hg  0.1864  0.1857  0.0938  6 Tb 3.05-3.30
Hg  0.1857  0.1864  0.5938  6 Tb 3.05-3.30
Hg  0.8143  0.8136  0.4062  6 Tb 3.05-3.30
Hg  0.8136  0.8143  0.9062  6 Tb 3.05-3.30
Pt  0.4993  0.5007  0.2500  6 Tb 2.77-2.98
Pt  0.5007  0.4993  0.7500  6 Tb 2.77-2.98

Summary:
Magnetic moment = 0.000 μB per atom
Density = 10.724 g cm⁻³


Most stable pick: i. Distance to second place: 10.5 kJ/mol of atoms.


i | # Tb8Hg2Pt

Crystalline Tb8Hg2Pt at its relaxed geometry (PBE-GGA, Alexandria via LeMat-Bulk).

Lattice parameters (Å, degrees): 8.7204 8.7204 8.7204 146.68 122.01 68.55
Closest atoms and distances in Å follow each position.
Element x y z (fractional)
Tb  0.1162  0.3424  0.7738  3 Hg 3.10-3.21, 1 Pt 3.24, 4 Tb 3.40-3.45
Tb  0.1215  0.1215  0.0000  2 Pt 3.05, 2 Tb 3.24
Tb  0.3227  0.0000  0.3227  3 Tb 3.00-3.24, 2 Hg 3.24
Tb  0.4314  0.6576  0.7738  3 Hg 3.10-3.21, 1 Pt 3.24, 4 Tb 3.40-3.45
Tb  0.5686  0.3424  0.2262  3 Hg 3.10-3.21, 1 Pt 3.24, 4 Tb 3.40-3.45
Tb  0.6773  0.0000  0.6773  3 Tb 3.00-3.24, 2 Hg 3.24
Tb  0.8785  0.8785  0.0000  2 Pt 3.05, 2 Tb 3.24
Tb  0.8838  0.6576  0.2262  3 Hg 3.10-3.21, 1 Pt 3.24, 4 Tb 3.40-3.45
Hg  0.3003  0.8003  0.5000  8 Tb 3.10-3.24
Hg  0.6997  0.1997  0.5000  8 Tb 3.10-3.24
Pt  0.0000  0.5000  0.5000  8 Tb 3.05-3.24

Summary:
Magnetic moment = 0.000 μB per atom
Density = 10.181 g cm⁻³


ii | # Tb8Hg2Pt

Crystalline Tb8Hg2Pt at its relaxed geometry (PBE-GGA, Alexandria via LeMat-Bulk).

Lattice parameters (Å, degrees): 9.3635 9.3635 6.8422 101.61 101.61 32.00
Closest atoms and distances in Å follow each position.
Element x y z (fractional)
Tb  0.0228  0.0228  0.2740  1 Hg 3.06, 2 Pt 3.08, 3 Tb 3.36-3.41
Tb  0.2040  0.2040  0.8197  3 Hg 2.96-3.29
Tb  0.3456  0.3456  0.5318  1 Pt 2.83, 3 Hg 3.07-3.14
Tb  0.4115  0.4115  0.0589  1 Pt 3.10, 3 Tb 3.41-3.45
Tb  0.5885  0.5885  0.9411  1 Pt 3.10, 3 Tb 3.41-3.45
Tb  0.6544  0.6544  0.4682  1 Pt 2.83, 3 Hg 3.07-3.14
Tb  0.7960  0.7960  0.1803  3 Hg 2.96-3.29
Tb  0.9772  0.9772  0.7260  1 Hg 3.06, 2 Pt 3.08, 3 Tb 3.36-3.41
Hg  0.1901  0.1901  0.2426  7 Tb 2.96-3.29
Hg  0.8099  0.8099  0.7574  7 Tb 2.96-3.29
Pt  0.5000  0.5000  0.5000  8 Tb 2.83-3.10

Summary:
Magnetic moment = 0.000 μB per atom
Density = 9.977 g cm⁻³


Most stable pick: ii. Distance to second place: 11.2 kJ/mol of atoms.


i | # TbTmHgPt

Crystalline TbTmHgPt at its relaxed geometry (PBE-GGA, Alexandria via LeMat-Bulk).

Lattice parameters (Å, degrees): 3.5472 3.5472 7.3870 90.00 90.00 90.00
Closest atoms and distances in Å follow each position.
Element x y z (fractional)
Tb  0.0000  0.0000  0.0000  4 Pt 3.05, 4 Hg 3.26, 1 Tm 3.32
Tm  0.0000  0.0000  0.5508  4 Pt 2.97, 4 Hg 3.20, 1 Tb 3.32
Hg  0.5000  0.5000  0.2825  4 Tm 3.20, 4 Tb 3.26, 4 Hg 3.55, 1 Pt 3.57
Pt  0.5000  0.5000  0.7653  4 Tm 2.97, 4 Tb 3.05

Summary:
Magnetic moment = 0.000 μB per atom
Density = 12.926 g cm⁻³


ii | # TbTmHgPt

Crystalline TbTmHgPt at its relaxed geometry (PBE-GGA, Alexandria via LeMat-Bulk).

Lattice parameters (Å, degrees): 5.0714 5.0714 5.0714 60.00 60.00 60.00
Closest atoms and distances in Å follow each position.
Element x y z (fractional)
Tb  0.0000  0.0000  0.0000  4 Pt 3.11, 4 Hg 3.11
Tm  0.5000  0.5000  0.5000  4 Pt 3.11, 4 Hg 3.11
Hg  0.2500  0.2500  0.2500  4 Tm 3.11, 4 Tb 3.11
Pt  0.7500  0.7500  0.7500  4 Tm 3.11, 4 Tb 3.11

Summary:
Magnetic moment = 0.000 μB per atom
Density = 13.027 g cm⁻³


Most stable pick: i. Distance to second place: 4.7 kJ/mol of atoms.


i | # TcHgPt

Crystalline TcHgPt at its relaxed geometry (PBE-GGA, Alexandria via LeMat-Bulk).

Lattice parameters (Å, degrees): 6.5502 6.5502 6.5502 154.80 154.80 35.94
Closest atoms and distances in Å follow each position.
Element x y z (fractional)
Tc  0.0000  0.0000  0.0000  4 Pt 2.67, 4 Tc 2.86, 4 Hg 2.99
Hg  0.3237  0.3237  0.0000  4 Hg 2.86, 4 Tc 2.99, 4 Pt 3.05
Pt  0.6403  0.6403  0.0000  4 Tc 2.67, 4 Pt 2.86

Summary:
Magnetic moment = 0.000 μB per atom
Density = 16.112 g cm⁻³


ii | # TcHgPt

Crystalline TcHgPt at its relaxed geometry (PBE-GGA, Alexandria via LeMat-Bulk).

Lattice parameters (Å, degrees): 2.8824 2.8824 7.0541 90.00 90.00 120.00
Closest atoms and distances in Å follow each position.
Element x y z (fractional)
Tc  0.0000  0.0000  0.0000  3 Pt 2.67, 6 Tc 2.88, 3 Hg 2.97
Hg  0.6667  0.3333  0.3486  6 Hg 2.88, 3 Tc 2.97, 3 Pt 3.01
Pt  0.3333  0.6667  0.7036  3 Tc 2.67, 6 Pt 2.88

Summary:
Magnetic moment = 0.000 μB per atom
Density = 16.152 g cm⁻³


iii | # TcHgPt

Crystalline TcHgPt at its relaxed geometry (PBE-GGA, Alexandria via LeMat-Bulk).

Lattice parameters (Å, degrees): 4.6598 4.6598 2.7473 90.00 90.00 120.00
Closest atoms and distances in Å follow each position.
Element x y z (fractional)
Tc  0.0000  0.0000  0.0000  2 Tc 2.75, 6 Hg 3.02, 6 Pt 3.02
Hg  0.3333  0.6667  0.5000  3 Pt 2.69, 2 Hg 2.75
Pt  0.6667  0.3333  0.5000  3 Hg 2.69, 2 Pt 2.75

Summary:
Magnetic moment = 0.566 μB per atom
Density = 15.868 g cm⁻³


Most stable pick: i. Distance to second place: 5.9 kJ/mol of atoms.


i | # HgTe2Pt2

Crystalline HgTe2Pt2 at its relaxed geometry (PBE-GGA, Alexandria via LeMat-Bulk).

Lattice parameters (Å, degrees): 7.4606 7.4606 3.8867 90.00 90.00 90.00
Closest atoms and distances in Å follow each position.
Element x y z (fractional)
Hg  0.0000  0.0000  0.0000  4 Pt 2.91
Hg  0.5000  0.5000  0.0000  4 Pt 2.91
Te  0.1692  0.3308  0.5000  6 Pt 2.84-3.00
Te  0.3308  0.8308  0.5000  6 Pt 2.84-3.00
Te  0.6692  0.1692  0.5000  6 Pt 2.84-3.00
Te  0.8308  0.6692  0.5000  6 Pt 2.84-3.00
Pt  0.1342  0.6342  0.0000  1 Pt 2.83, 6 Te 2.84-3.00, 2 Hg 2.91
Pt  0.3658  0.1342  0.0000  1 Pt 2.83, 6 Te 2.84-3.00, 2 Hg 2.91
Pt  0.6342  0.8658  0.0000  1 Pt 2.83, 6 Te 2.84-3.00, 2 Hg 2.91
Pt  0.8658  0.3658  0.0000  1 Pt 2.83, 6 Te 2.84-3.00, 2 Hg 2.91

Summary:
Magnetic moment = 0.000 μB per atom
Density = 12.987 g cm⁻³


ii | # HgTe2Pt2

Crystalline HgTe2Pt2 at its relaxed geometry (PBE-GGA, Alexandria via LeMat-Bulk).

Lattice parameters (Å, degrees): 8.4241 8.4241 8.4241 152.63 152.63 39.09
Closest atoms and distances in Å follow each position.
Element x y z (fractional)
Hg  0.0000  0.0000  0.0000  8 Te 3.52
Te  0.3668  0.3668  0.0000  4 Pt 2.72
Te  0.6332  0.6332  0.0000  4 Pt 2.72
Pt  0.2500  0.7500  0.5000  4 Te 2.72, 4 Pt 2.82
Pt  0.7500  0.2500  0.5000  4 Te 2.72, 4 Pt 2.82

Summary:
Magnetic moment = 0.000 μB per atom
Density = 11.137 g cm⁻³


Most stable pick: ii. Distance to second place: 11.7 kJ/mol of atoms.